Entry 1:
ReRhOF2 | PBE | relaxed

abc: 4.463 4.463 3.760
angles: 90.00 90.00 90.00
Element x y z (fractional)
Re1 0.000 0.000 0.000
Rh1 0.500 0.500 0.500
O1 0.500 0.500 0.000
F1 0.000 0.500 0.500
F2 0.500 0.000 0.500

Properties
energy above the lowest structure with this stoichiometry: 567 meV/atom
formation energy from raw total energies: 301 meV per atom

Entry 2:
SiP2Rh | PBE | relaxed

abc: 4.250 4.250 4.250
angles: 109.89 109.89 108.63
Element x y z (fractional)
Si1 0.000 0.000 0.000
P1 0.000 0.500 0.500
P2 0.500 0.000 0.500
Rh1 0.500 0.500 0.000

Properties
formation energy from raw total energies: -81 meV per atom

Entry 3:
Zr2PbCl | PBE | relaxed

abc: 5.104 5.104 3.350
angles: 90.00 90.00 90.00
Element x y z (fractional)
Zr1 0.000 0.500 0.000
Zr2 0.500 0.000 0.000
Pb1 0.000 0.000 0.500
Cl1 0.500 0.500 0.500

Properties
energy above the lowest structure with this stoichiometry: 280 meV/atom
formation energy from raw total energies: -231 meV per atom

Entry 4:
AcPrHgRu | PBE | relaxed

abc: 5.349 5.349 5.349
angles: 60.00 60.00 60.00
Element x y z (fractional)
Ac1 0.000 0.000 0.000
Pr1 0.500 0.500 0.500
Hg1 0.250 0.250 0.250
Ru1 0.750 0.750 0.750

Properties
energy of formation: -167.0 meV/atom

Entry 5:
YSb2 | PBE | relaxed

abc: 5.739 5.739 5.739
angles: 139.08 139.08 59.25
Element x y z (fractional)
Y1 0.000 0.000 0.000
Sb1 0.346 0.346 0.000
Sb2 0.654 0.654 0.000

Properties
formation energy from raw total energies: -663 meV per atom

Entry 6:
LaTbDyS3 | PBE | relaxed

abc: 6.894 3.926 10.431
angles: 90.00 102.66 90.00
Element x y z (fractional)
La1 0.153 0.250 0.194
La2 0.847 0.750 0.806
Tb1 0.374 0.250 0.867
Tb2 0.626 0.750 0.133
Dy1 0.267 0.750 0.555
Dy2 0.733 0.250 0.445
S1 0.050 0.250 0.658
S2 0.230 0.750 0.001
S3 0.450 0.750 0.346
S4 0.550 0.250 0.654
S5 0.770 0.250 0.999
S6 0.950 0.750 0.342

Properties
formation energy from raw total energies: -1995 meV per atom

Entry 7:
CsHf2SbCl | PBE | relaxed

abc: 4.956 4.956 5.980
angles: 90.00 90.00 90.00
Element x y z (fractional)
Cs1 0.000 0.000 0.000
Hf1 0.000 0.500 0.500
Hf2 0.500 0.000 0.500
Sb1 0.500 0.500 0.000
Cl1 0.500 0.500 0.500

Properties
formation energy from raw total energies: 672 meV per atom

Entry 8:
CeSi2Ni8 | PBE | relaxed

abc: 5.597 5.597 4.927
angles: 90.00 90.00 90.00
Element x y z (fractional)
Ce1 0.000 0.000 0.000
Si1 0.000 0.500 0.500
Si2 0.500 0.000 0.500
Ni1 0.287 0.287 0.249
Ni2 0.287 0.287 0.751
Ni3 0.287 0.713 0.249
Ni4 0.287 0.713 0.751
Ni5 0.713 0.287 0.249
Ni6 0.713 0.287 0.751
Ni7 0.713 0.713 0.249
Ni8 0.713 0.713 0.751

Properties
formation energy from raw total energies: -65 meV per atom

| no. | magnetization (μB per formula unit) | volume (Å³ per cell) | E_tot (eV per atom) |
| --- | --- | --- | --- |
| 1 | 5.181 | 74.9 | -5.399 |
| 2 | 0.000 | 59.1 | -5.979 |
| 3 | 0.000 | 87.3 | -5.893 |
| 4 | 0.000 | 108.2 | -4.783 |
| 5 | 0.000 | 80.3 | -5.566 |
| 6 | 0.000 | 275.5 | -6.419 |
| 7 | 0.000 | 146.9 | -4.674 |
| 8 | 0.000 | 154.4 | -5.795 |